Record 1
{
  "formula": "SrDyPb2Se4",
  "functional": "GGA-PBE",
  "state": "optimized geometry",
  "lattice": [[7.577, 0.000, 0.000], [0.000, 4.166, 0.000], [-2.003, 0.000, 7.557]],
  "species": ["Sr", "Dy", "Pb", "Pb", "Se", "Se", "Se", "Se"],
  "frac_coords": [[0.000, 0.000, 0.000], [0.000, 0.500, 0.500], [0.500, 0.000, 0.500], [0.500, 0.500, 0.000], [0.213, 0.000, 0.710], [0.243, 0.500, 0.260], [0.757, 0.500, 0.740], [0.787, 0.000, 0.290]],
  "formation_energy_uncorrected_kcal_per_mol_atoms": -27.35,
  "vol_a3_per_cell": 238.5,
  "m_tot_mub_per_cell": 0.0
}

=====

Record 2
{
  "formula": "TbDyPbSe",
  "functional": "GGA-PBE",
  "state": "optimized geometry",
  "lattice": [[4.298, 0.000, 0.000], [0.000, 4.298, 0.000], [0.000, 0.000, 6.060]],
  "species": ["Tb", "Dy", "Pb", "Se"],
  "frac_coords": [[0.000, 0.000, 0.000], [0.500, 0.500, 0.500], [0.500, 0.500, 0.000], [0.000, 0.000, 0.500]],
  "formation_energy_uncorrected_kcal_per_mol_atoms": -25.86,
  "vol_a3_per_cell": 111.9,
  "m_tot_mub_per_cell": 0.0
}